Entry 1:
First-principles (PBE) data for a geometry-optimized Ti3Be2 structure, as listed in the Alexandria database.

Summary:
The calculation puts the spin magnetization at 0.3 μB per formula unit. Its symmetry is Immm, No. 71. Its crystal system is orthorhombic.

Structure (CIF):
```
data_Ti3Be2
_chemical_formula_sum 'Ti3 Be2'
_symmetry_space_group_name_H-M 'P 1'
_symmetry_Int_Tables_number 1
_symmetry_space_group_name_Hall 'P 1'
_cell_length_a 4.708
_cell_length_b 4.708
_cell_length_c 4.708
_cell_angle_alpha 131.97
_cell_angle_beta 109.97
_cell_angle_gamma 89.42
loop_
_atom_site_label
_atom_site_fract_x
_atom_site_fract_y
_atom_site_fract_z
_atom_site_occupancy
Ti1 0.000 0.000 0.000 1
Ti2 0.301 0.801 0.500 1
Ti3 0.699 0.199 0.500 1
Be1 0.306 0.500 0.806 1
Be2 0.694 0.500 0.194 1
```



Entry 2:
First-principles (PBE) data for a geometry-optimized TiBe4 structure, as listed in the Alexandria database.

Summary:
The calculation puts the spin magnetization at 0.0 μB per formula unit. Its symmetry is I-43m, No. 217. Its crystal system is cubic.

Structure (CIF):
```
data_TiBe4
_chemical_formula_sum 'Ti4 Be16'
_symmetry_space_group_name_H-M 'P 1'
_symmetry_Int_Tables_number 1
_symmetry_space_group_name_Hall 'P 1'
_cell_length_a 6.380
_cell_length_b 6.380
_cell_length_c 6.380
_cell_angle_alpha 109.47
_cell_angle_beta 109.47
_cell_angle_gamma 109.47
loop_
_atom_site_label
_atom_site_fract_x
_atom_site_fract_y
_atom_site_fract_z
_atom_site_occupancy
Ti1 0.000 0.000 0.558 1
Ti2 0.000 0.558 0.000 1
Ti3 0.442 0.442 0.442 1
Ti4 0.558 0.000 0.000 1
Be1 0.000 0.000 0.196 1
Be2 0.000 0.196 0.000 1
Be3 0.000 0.352 0.352 1
Be4 0.000 0.648 0.648 1
Be5 0.196 0.000 0.000 1
Be6 0.250 0.500 0.750 1
Be7 0.250 0.750 0.500 1
Be8 0.352 0.000 0.352 1
Be9 0.352 0.352 0.000 1
Be10 0.500 0.250 0.750 1
Be11 0.500 0.750 0.250 1
Be12 0.648 0.000 0.648 1
Be13 0.648 0.648 0.000 1
Be14 0.750 0.250 0.500 1
Be15 0.750 0.500 0.250 1
Be16 0.804 0.804 0.804 1
```



Entry 3:
First-principles (PBE) data for a geometry-optimized Ti2Be17 structure, as listed in the Alexandria database.

Summary:
The calculation puts the spin magnetization at 0.0 μB per formula unit. Its symmetry is P6_3/mmc, No. 194. Its crystal system is hexagonal.

Structure (CIF):
```
data_Ti2Be17
_chemical_formula_sum 'Ti4 Be34'
_symmetry_space_group_name_H-M 'P 1'
_symmetry_Int_Tables_number 1
_symmetry_space_group_name_Hall 'P 1'
_cell_length_a 7.342
_cell_length_b 7.342
_cell_length_c 7.156
_cell_angle_alpha 90.00
_cell_angle_beta 90.00
_cell_angle_gamma 120.00
loop_
_atom_site_label
_atom_site_fract_x
_atom_site_fract_y
_atom_site_fract_z
_atom_site_occupancy
Ti1 0.000 0.000 0.250 1
Ti2 0.000 0.000 0.750 1
Ti3 0.333 0.667 0.250 1
Ti4 0.667 0.333 0.750 1
Be1 0.000 0.500 0.000 1
Be2 0.000 0.500 0.500 1
Be3 0.040 0.371 0.750 1
Be4 0.040 0.669 0.750 1
Be5 0.165 0.329 0.015 1
Be6 0.165 0.329 0.485 1
Be7 0.165 0.835 0.015 1
Be8 0.165 0.835 0.485 1
Be9 0.329 0.165 0.515 1
Be10 0.329 0.165 0.985 1
Be11 0.331 0.371 0.750 1
Be12 0.331 0.960 0.750 1
Be13 0.333 0.667 0.603 1
Be14 0.333 0.667 0.897 1
Be15 0.371 0.040 0.250 1
Be16 0.371 0.331 0.250 1
Be17 0.500 0.000 0.000 1
Be18 0.500 0.000 0.500 1
Be19 0.500 0.500 0.000 1
Be20 0.500 0.500 0.500 1
Be21 0.629 0.669 0.750 1
Be22 0.629 0.960 0.750 1
Be23 0.667 0.333 0.103 1
Be24 0.667 0.333 0.397 1
Be25 0.669 0.040 0.250 1
Be26 0.669 0.629 0.250 1
Be27 0.671 0.835 0.015 1
Be28 0.671 0.835 0.485 1
Be29 0.835 0.165 0.515 1
Be30 0.835 0.165 0.985 1
Be31 0.835 0.671 0.515 1
Be32 0.835 0.671 0.985 1
Be33 0.960 0.331 0.250 1
Be34 0.960 0.629 0.250 1
```



Entry 4:
First-principles (PBE) data for a geometry-optimized Ti2Be17 structure, as listed in the Alexandria database.

Summary:
The calculation puts the spin magnetization at 0.0 μB per formula unit. Its symmetry is R-3m, No. 166. Its crystal system is trigonal.

Structure (CIF):
```
data_Ti2Be17
_chemical_formula_sum 'Ti2 Be17'
_symmetry_space_group_name_H-M 'P 1'
_symmetry_Int_Tables_number 1
_symmetry_space_group_name_Hall 'P 1'
_cell_length_a 5.546
_cell_length_b 5.546
_cell_length_c 5.546
_cell_angle_alpha 82.84
_cell_angle_beta 82.84
_cell_angle_gamma 82.84
loop_
_atom_site_label
_atom_site_fract_x
_atom_site_fract_y
_atom_site_fract_z
_atom_site_occupancy
Ti1 0.164 0.164 0.164 1
Ti2 0.836 0.836 0.836 1
Be1 0.000 0.500 0.500 1
Be2 0.153 0.153 0.660 1
Be3 0.153 0.660 0.153 1
Be4 0.205 0.500 0.795 1
Be5 0.205 0.795 0.500 1
Be6 0.340 0.847 0.847 1
Be7 0.401 0.401 0.401 1
Be8 0.500 0.000 0.500 1
Be9 0.500 0.205 0.795 1
Be10 0.500 0.500 0.000 1
Be11 0.500 0.795 0.205 1
Be12 0.599 0.599 0.599 1
Be13 0.660 0.153 0.153 1
Be14 0.795 0.205 0.500 1
Be15 0.795 0.500 0.205 1
Be16 0.847 0.340 0.847 1
Be17 0.847 0.847 0.340 1
```



Entry 5:
First-principles (PBE) data for a geometry-optimized TiBe5 structure, as listed in the Alexandria database.

Summary:
The calculation puts the spin magnetization at 0.0 μB per formula unit. Its symmetry is Cmmm, No. 65. Its crystal system is orthorhombic.

Structure (CIF):
```
data_TiBe5
_chemical_formula_sum 'Ti1 Be5'
_symmetry_space_group_name_H-M 'P 1'
_symmetry_Int_Tables_number 1
_symmetry_space_group_name_Hall 'P 1'
_cell_length_a 4.990
_cell_length_b 4.990
_cell_length_c 3.583
_cell_angle_alpha 90.00
_cell_angle_beta 90.00
_cell_angle_gamma 138.66
loop_
_atom_site_label
_atom_site_fract_x
_atom_site_fract_y
_atom_site_fract_z
_atom_site_occupancy
Ti1 0.000 0.000 0.000 1
Be1 0.173 0.827 0.500 1
Be2 0.311 0.689 0.000 1
Be3 0.500 0.500 0.500 1
Be4 0.689 0.311 0.000 1
Be5 0.827 0.173 0.500 1
```



Entry 6:
First-principles (PBE) data for a geometry-optimized TiBe4 structure, as listed in the Alexandria database.

Summary:
The calculation puts the spin magnetization at 1.5 μB per formula unit. Its symmetry is Pm-3m, No. 221. Its crystal system is cubic.

Structure (CIF):
```
data_TiBe4
_chemical_formula_sum 'Ti1 Be4'
_symmetry_space_group_name_H-M 'P 1'
_symmetry_Int_Tables_number 1
_symmetry_space_group_name_Hall 'P 1'
_cell_length_a 4.385
_cell_length_b 4.385
_cell_length_c 4.385
_cell_angle_alpha 90.00
_cell_angle_beta 90.00
_cell_angle_gamma 90.00
loop_
_atom_site_label
_atom_site_fract_x
_atom_site_fract_y
_atom_site_fract_z
_atom_site_occupancy
Ti1 0.000 0.000 0.000 1
Be1 0.000 0.000 0.500 1
Be2 0.000 0.500 0.000 1
Be3 0.500 0.000 0.000 1
Be4 0.500 0.500 0.500 1
```



Entry 7:
First-principles (PBE) data for a geometry-optimized Ti3Be structure, as listed in the Alexandria database.

Summary:
The calculation puts the spin magnetization at 0.0 μB per formula unit. Its symmetry is Pmm2, No. 25. Its crystal system is orthorhombic.

Structure (CIF):
```
data_Ti3Be
_chemical_formula_sum 'Ti3 Be1'
_symmetry_space_group_name_H-M 'P 1'
_symmetry_Int_Tables_number 1
_symmetry_space_group_name_Hall 'P 1'
_cell_length_a 2.655
_cell_length_b 2.793
_cell_length_c 8.536
_cell_angle_alpha 90.00
_cell_angle_beta 90.00
_cell_angle_gamma 90.00
loop_
_atom_site_label
_atom_site_fract_x
_atom_site_fract_y
_atom_site_fract_z
_atom_site_occupancy
Ti1 0.000 0.000 0.000 1
Ti2 0.000 0.500 0.313 1
Ti3 0.500 0.500 0.759 1
Be1 0.500 0.000 0.504 1
```



Entry 8:
First-principles (PBE) data for a geometry-optimized TiBe11 structure, as listed in the Alexandria database.

Summary:
The calculation puts the spin magnetization at 0.0 μB per formula unit. Its symmetry is I4_1/amd, No. 141. Its crystal system is tetragonal.

Structure (CIF):
```
data_TiBe11
_chemical_formula_sum 'Ti2 Be22'
_symmetry_space_group_name_H-M 'P 1'
_symmetry_Int_Tables_number 1
_symmetry_space_group_name_Hall 'P 1'
_cell_length_a 6.715
_cell_length_b 6.715
_cell_length_c 6.715
_cell_angle_alpha 99.81
_cell_angle_beta 99.81
_cell_angle_gamma 131.24
loop_
_atom_site_label
_atom_site_fract_x
_atom_site_fract_y
_atom_site_fract_z
_atom_site_occupancy
Ti1 0.375 0.625 0.750 1
Ti2 0.625 0.375 0.250 1
Be1 0.000 0.000 0.000 1
Be2 0.000 0.000 0.500 1
Be3 0.000 0.500 0.000 1
Be4 0.125 0.875 0.250 1
Be5 0.140 0.559 0.332 1
Be6 0.140 0.808 0.580 1
Be7 0.192 0.272 0.332 1
Be8 0.192 0.860 0.920 1
Be9 0.272 0.192 0.832 1
Be10 0.272 0.441 0.080 1
Be11 0.441 0.272 0.580 1
Be12 0.441 0.860 0.168 1
Be13 0.500 0.000 0.500 1
Be14 0.559 0.140 0.832 1
Be15 0.559 0.728 0.420 1
Be16 0.728 0.559 0.920 1
Be17 0.728 0.808 0.168 1
Be18 0.808 0.140 0.080 1
Be19 0.808 0.728 0.668 1
Be20 0.860 0.192 0.420 1
Be21 0.860 0.441 0.668 1
Be22 0.875 0.125 0.750 1
```



no.,total energy (eV/atom),formation enthalpy at 0 K (eV per formula unit),mass density (g/cm³)
1,-6.25,-0.14,3.873
2,-4.60,-0.18,2.788
3,-4.37,-3.96,2.475
4,-4.37,-3.94,2.477
5,-4.40,0.14,2.618
6,-2.62,9.72,1.653
7,-6.61,0.96,4.003
8,-4.22,-1.80,2.354